Record 1
Sc2TaNi, relaxed, DFT PBE; energy relative to the elements = -0.08 eV/atom; space group = No. 8; density of states at the Fermi level = 5.07 states/eV per cell
1.0
5.393 -1.528 0.000
5.393 1.528 0.000
-2.162 0.000 4.504
Sc Ta Ni
2 1 1
direct
0.000 0.000 0.000
0.200 0.200 0.649
0.419 0.419 0.428
0.720 0.720 0.093

Record 2
ScTa2Ni, relaxed, DFT PBE; energy relative to the elements = 0.10 eV/atom; space group = No. 10; density of states at the Fermi level = 4.27 states/eV per cell
1.0
2.897 0.000 0.000
0.000 4.774 0.000
-1.000 0.000 5.024
Sc Ta Ni
1 2 1
direct
0.000 0.000 0.000
0.292 0.500 0.740
0.708 0.500 0.260
0.500 0.000 0.500

Record 3
Sc2TaNi, relaxed, DFT PBE; energy relative to the elements = -0.11 eV/atom; space group = No. 99; density of states at the Fermi level = 3.38 states/eV per cell
1.0
3.065 0.000 0.000
0.000 3.065 0.000
0.000 0.000 8.136
Sc Ta Ni
2 1 1
direct
0.000 0.000 0.000
0.500 0.500 0.344
0.000 0.000 0.600
0.500 0.500 0.785

Table of mass density (g/cm3), in record order: 7.4 11.1 7.2